A plane-wave DFT calculation with PBE was carried out for a geometry-optimized Ac6Pd5Ru structure.

a = 7.5891 Å, b = 8.8088 Å, c = 7.5805 Å
α = 107.00°, β = 99.53°, γ = 125.22°
Fractional positions:
1 Pd 0.6743 0.1743 0.3486
2 Pd 0.3344 0.3344 0.6687
3 Pd 0.0000 0.5000 0.0000
4 Pd 0.3257 0.8257 0.6514
5 Pd 0.6656 0.6656 0.3313
6 Ac 0.5149 0.7611 0.0000
7 Ac 0.8402 0.5991 0.6790
8 Ac 0.1612 0.9201 0.3210
9 Ac 0.4851 0.2389 0.0000
10 Ac 0.8388 0.0799 0.6790
11 Ac 0.1598 0.4009 0.3210
12 Ru 0.0000 0.0000 0.0000

ΔH_f (0 K) ... -0.65 eV/atom
Volume ... 357.9 Å³ per cell